Computed, not measured: an optimized crystal structure of CaZnIr2 at the PBE level of DFT.

Cell lengths 2.897, 2.897, 28.127 Å; angles 90.00, 90.00, 120.00 degrees
Atoms (fractional coordinates):
Ca1 0.000 0.000 0.000
Ca2 0.333 0.667 0.667
Ca3 0.667 0.333 0.333
Zn1 0.000 0.000 0.237
Zn2 0.333 0.667 0.904
Zn3 0.667 0.333 0.570
Ir1 0.000 0.000 0.496
Ir2 0.000 0.000 0.753
Ir3 0.333 0.667 0.162
Ir4 0.333 0.667 0.420
Ir5 0.667 0.333 0.087
Ir6 0.667 0.333 0.829

- E_tot (eV/atom) = -4.950
- DOS at the Fermi energy (states/eV per cell) = 14.8

Computed, not measured: an optimized crystal structure of CaZnIr2 at the PBE level of DFT.

Cell lengths 2.871, 4.322, 5.682 Å; angles 90.00, 103.55, 90.00 degrees
Atoms (fractional coordinates):
Ca1 0.000 0.000 0.000
Zn1 0.500 0.000 0.500
Ir1 0.334 0.500 0.707
Ir2 0.666 0.500 0.293

- E_tot (eV/atom) = -5.332
- DOS at the Fermi energy (states/eV per cell) = 1.7